No. 1
The following is a GGA-PBE calculation of a relaxed Ca2LaAl crystal, from Alexandria via LeMat-Bulk.

Properties
SG: No. 122
Energy of formation in eV/atom: 0.177

a b c (Å): 9.188 9.188 7.308
angles (deg): 51.05 51.05 90.00
Positions (direct):
Ca 0.571 0.125 0.250
Ca 0.179 0.625 0.250
Ca 0.375 0.429 0.750
Ca 0.875 0.821 0.750
Al 0.500 0.500 0.000
Al 0.250 0.750 0.500
La 0.000 0.000 0.000
La 0.750 0.250 0.500

***

No. 2
The following is a GGA-PBE calculation of a relaxed TaSi3H crystal, from Alexandria via LeMat-Bulk.

Properties
SG: No. 221
Polymorph energy (0 for the lowest one) in meV per atom: 0

a b c (Å): 3.949 3.949 3.949
angles (deg): 90.00 90.00 90.00
Positions (direct):
H 0.000 0.000 0.000
Si 0.000 0.500 0.000
Si 0.000 0.000 0.500
Si 0.500 0.000 0.000
Ta 0.500 0.500 0.500